Entry 1:
# PRh2O6

PRh2O6 after structural relaxation (PBE, Alexandria via LeMat-Bulk).

Computed properties:
As for the energy relative to the elements, uncorrected: -1.109 eV/atom. The mass density comes out at 6.0 g cm⁻³. As for the total energy: -6.649 eV per atom. As for the density of states at the Fermi level: 0.66 states/eV per atom.

CIF file:
```
data_PRh2O6
_chemical_formula_sum 'P2 Rh4 O12'
_symmetry_space_group_name_H-M 'P n n m'
_symmetry_Int_Tables_number 58
_cell_length_a 4.530
_cell_length_b 4.947
_cell_length_c 8.242
_cell_angle_alpha 90.00
_cell_angle_beta 90.00
_cell_angle_gamma 90.00
loop_
_symmetry_equiv_pos_as_xyz
'x,y,z'
'-x,-y,-z'
'-x,-y,z'
'x,y,-z'
'x+1/2,-y+1/2,-z+1/2'
'-x+1/2,y+1/2,z+1/2'
'-x+1/2,y+1/2,-z+1/2'
'x+1/2,-y+1/2,z+1/2'
loop_
_atom_site_label
_atom_site_type_symbol
_atom_site_fract_x
_atom_site_fract_y
_atom_site_fract_z
P1 P 0.000 0.000 0.000
Rh1 Rh 0.000 0.500 0.185
O1 O 0.206 0.295 0.000
O2 O 0.219 0.849 0.148
```

***

Entry 2:
# MnTl2SnTe4

MnTl2SnTe4 after structural relaxation (PBE, Alexandria via LeMat-Bulk).

Computed properties:
As for the energy relative to the elements, uncorrected: -0.223 eV/atom. The mass density comes out at 7.3 g cm⁻³. The offset from the most stable computed form comes out at 0.006 eV per atom. As for the total energy: -4.032 eV per atom. As for the density of states at the Fermi level: 0.45 states/eV per atom.

CIF file:
```
data_MnTl2SnTe4
_chemical_formula_sum 'Mn4 Tl8 Sn4 Te16'
_symmetry_space_group_name_H-M 'I m m a'
_symmetry_Int_Tables_number 74
_symmetry_space_group_name_Hall '-I 2b 2'
_cell_length_a 8.628
_cell_length_b 9.169
_cell_length_c 12.525
_cell_angle_alpha 90.00
_cell_angle_beta 90.00
_cell_angle_gamma 90.00
loop_
_atom_site_label
_atom_site_type_symbol
_atom_site_fract_x
_atom_site_fract_y
_atom_site_fract_z
Mn1 Mn 0.250 0.250 0.250
Tl1 Tl 0.000 0.000 0.000
Tl2 Tl 0.250 0.250 0.750
Sn1 Sn 0.000 0.000 0.500
Te1 Te 0.000 0.044 0.255
Te2 Te 0.241 0.250 0.476
```

***

Entry 3:
# ZnCuIr2

ZnCuIr2 after structural relaxation (PBE, Alexandria via LeMat-Bulk).

Computed properties:
The mass density comes out at 15.3 g cm⁻³. The calculation puts the formation energy at -0.051 eV/atom. As for the total energy: -5.824 eV per atom. As for the density of states at the Fermi level: 1.00 states/eV per atom.

CIF file:
```
data_ZnCuIr2
_chemical_formula_sum 'Zn2 Cu2 Ir4'
_symmetry_space_group_name_H-M 'C 1 2/m 1'
_symmetry_Int_Tables_number 12
_cell_length_a 8.714
_cell_length_b 2.744
_cell_length_c 4.730
_cell_angle_alpha 90.00
_cell_angle_beta 100.77
_cell_angle_gamma 90.00
loop_
_symmetry_equiv_pos_as_xyz
'x,y,z'
'-x,-y,-z'
'-x,y,-z'
'x,-y,z'
'x+1/2,y+1/2,z'
'-x+1/2,-y+1/2,-z'
'-x+1/2,y+1/2,-z'
'x+1/2,-y+1/2,z'
loop_
_atom_site_label
_atom_site_type_symbol
_atom_site_fract_x
_atom_site_fract_y
_atom_site_fract_z
Zn1 Zn 0.000 0.000 0.000
Cu1 Cu 0.000 0.500 0.500
Ir1 Ir 0.249 0.500 0.253
```

***

Entry 4:
# ReHg2W

ReHg2W after structural relaxation (PBE, Alexandria via LeMat-Bulk).

Computed properties:
The mass density comes out at 17.8 g cm⁻³. The offset from the most stable computed form comes out at 0.536 eV per atom. The calculation puts the formation energy at 1.036 eV/atom. As for the total energy: -5.465 eV per atom. As for the density of states at the Fermi level: 1.14 states/eV per atom.

CIF file:
```
data_ReHg2W
_chemical_formula_sum 'Re1 Hg2 W1'
_symmetry_space_group_name_H-M 'P 4/m m m'
_symmetry_Int_Tables_number 123
_symmetry_space_group_name_Hall '-P 4 2'
_cell_length_a 3.961
_cell_length_b 3.961
_cell_length_c 4.578
_cell_angle_alpha 90.00
_cell_angle_beta 90.00
_cell_angle_gamma 90.00
loop_
_atom_site_label
_atom_site_type_symbol
_atom_site_fract_x
_atom_site_fract_y
_atom_site_fract_z
Re1 Re 0.000 0.000 0.000
Hg1 Hg 0.000 0.500 0.500
W1 W 0.500 0.500 0.000
```

***

Entry 5:
# LaTlW2

LaTlW2 after structural relaxation (PBE, Alexandria via LeMat-Bulk).

Computed properties:
The mass density comes out at 12.7 g cm⁻³. The offset from the most stable computed form comes out at 0.599 eV per atom. The calculation puts the formation energy at 0.935 eV/atom. As for the total energy: -7.365 eV per atom. As for the density of states at the Fermi level: 0.70 states/eV per atom.

CIF file:
```
data_LaTlW2
_chemical_formula_sum 'La1 Tl1 W2'
_symmetry_space_group_name_H-M 'P 4/m m m'
_symmetry_Int_Tables_number 123
_symmetry_space_group_name_Hall '-P 4 2'
_cell_length_a 3.695
_cell_length_b 3.695
_cell_length_c 6.815
_cell_angle_alpha 90.00
_cell_angle_beta 90.00
_cell_angle_gamma 90.00
loop_
_atom_site_label
_atom_site_type_symbol
_atom_site_fract_x
_atom_site_fract_y
_atom_site_fract_z
La1 La 0.000 0.000 0.000
Tl1 Tl 0.000 0.000 0.500
W1 W 0.500 0.500 0.321
```

***

Entry 6:
# Li2ErAg2

Li2ErAg2 after structural relaxation (PBE, Alexandria via LeMat-Bulk).

Computed properties:
The mass density comes out at 6.5 g cm⁻³. The offset from the most stable computed form comes out at 0.000 eV per atom. The calculation puts the formation energy at -0.183 eV/atom. As for the total energy: -3.001 eV per atom. As for the density of states at the Fermi level: 0.44 states/eV per atom.

CIF file:
```
data_Li2ErAg2
_chemical_formula_sum 'Li4 Er2 Ag4'
_symmetry_space_group_name_H-M 'C 1 2/m 1'
_symmetry_Int_Tables_number 12
_cell_length_a 5.495
_cell_length_b 5.502
_cell_length_c 7.193
_cell_angle_alpha 90.00
_cell_angle_beta 111.94
_cell_angle_gamma 90.00
loop_
_symmetry_equiv_pos_as_xyz
'x,y,z'
'-x,-y,-z'
'-x,y,-z'
'x,-y,z'
'x+1/2,y+1/2,z'
'-x+1/2,-y+1/2,-z'
'-x+1/2,y+1/2,-z'
'x+1/2,-y+1/2,z'
loop_
_atom_site_label
_atom_site_type_symbol
_atom_site_fract_x
_atom_site_fract_y
_atom_site_fract_z
Li1 Li 0.000 0.249 0.000
Er1 Er 0.000 0.000 0.500
Ag1 Ag 0.105 0.500 0.712
```

***

Entry 7:
# ZrCdBi2

ZrCdBi2 after structural relaxation (PBE, Alexandria via LeMat-Bulk).

Computed properties:
The mass density comes out at 8.7 g cm⁻³. The calculation puts the formation energy at 0.037 eV/atom. As for the total energy: -4.269 eV per atom. As for the density of states at the Fermi level: 0.70 states/eV per atom.

CIF file:
```
data_ZrCdBi2
_chemical_formula_sum 'Zr3 Cd3 Bi6'
_symmetry_space_group_name_H-M 'R 3 m'
_symmetry_Int_Tables_number 160
_symmetry_space_group_name_Hall 'R 3 -2"'
_cell_length_a 4.3666
_cell_length_b 4.3666
_cell_length_c 21.6083
_cell_angle_alpha 90.00
_cell_angle_beta 90.00
_cell_angle_gamma 120.00
loop_
_atom_site_label
_atom_site_type_symbol
_atom_site_fract_x
_atom_site_fract_y
_atom_site_fract_z
Zr1 Zr 0.0000 0.0000 0.0000
Cd1 Cd 0.0000 0.0000 0.1635
Bi1 Bi 0.0000 0.0000 0.4096
Bi2 Bi 0.0000 0.0000 0.5862
```

***

Entry 8:
# PrNd4Cu5

PrNd4Cu5 after structural relaxation (PBE, Alexandria via LeMat-Bulk).

Computed properties:
The mass density comes out at 7.4 g cm⁻³. The calculation puts the formation energy at -0.137 eV/atom. As for the total energy: -4.570 eV per atom. As for the density of states at the Fermi level: 0.79 states/eV per atom.

CIF file:
```
data_PrNd4Cu5
_chemical_formula_sum 'Pr1 Nd4 Cu5'
_symmetry_space_group_name_H-M 'P 4/m m m'
_symmetry_Int_Tables_number 123
_symmetry_space_group_name_Hall '-P 4 2'
_cell_length_a 3.582
_cell_length_b 3.582
_cell_length_c 18.149
_cell_angle_alpha 90.00
_cell_angle_beta 90.00
_cell_angle_gamma 90.00
loop_
_atom_site_label
_atom_site_type_symbol
_atom_site_fract_x
_atom_site_fract_y
_atom_site_fract_z
Pr1 Pr 0.000 0.000 0.000
Nd1 Nd 0.000 0.000 0.201
Nd2 Nd 0.000 0.000 0.400
Cu1 Cu 0.500 0.500 0.103
Cu2 Cu 0.500 0.500 0.300
Cu3 Cu 0.500 0.500 0.500
```

***

Entry 9:
# Na2YHfAs

Na2YHfAs after structural relaxation (PBE, Alexandria via LeMat-Bulk).

Computed properties:
The mass density comes out at 4.2 g cm⁻³. The calculation puts the formation energy at 0.462 eV/atom. As for the total energy: -4.279 eV per atom. As for the density of states at the Fermi level: 0.80 states/eV per atom.

CIF file:
```
data_Na2YHfAs
_chemical_formula_sum 'Na2 Y1 Hf1 As1'
_symmetry_space_group_name_H-M 'P 4/m m m'
_symmetry_Int_Tables_number 123
_symmetry_space_group_name_Hall '-P 4 2'
_cell_length_a 5.257
_cell_length_b 5.257
_cell_length_c 5.577
_cell_angle_alpha 90.00
_cell_angle_beta 90.00
_cell_angle_gamma 90.00
loop_
_atom_site_label
_atom_site_type_symbol
_atom_site_fract_x
_atom_site_fract_y
_atom_site_fract_z
Na1 Na 0.000 0.500 0.000
Y1 Y 0.000 0.000 0.500
Hf1 Hf 0.500 0.500 0.500
As1 As 0.000 0.000 0.000
```

***

Entry 10:
# BaPRhCl2

BaPRhCl2 after structural relaxation (PBE, Alexandria via LeMat-Bulk).

Computed properties:
As for the energy relative to the elements, uncorrected: -0.939 eV/atom. The mass density comes out at 4.7 g cm⁻³. The offset from the most stable computed form comes out at 0.000 eV per atom. As for the total energy: -4.615 eV per atom. As for the density of states at the Fermi level: 0.73 states/eV per atom.

CIF file:
```
data_BaPRhCl2
_chemical_formula_sum 'Ba1 P1 Rh1 Cl2'
_symmetry_space_group_name_H-M 'P 4/m m m'
_symmetry_Int_Tables_number 123
_symmetry_space_group_name_Hall '-P 4 2'
_cell_length_a 5.138
_cell_length_b 5.138
_cell_length_c 4.561
_cell_angle_alpha 90.00
_cell_angle_beta 90.00
_cell_angle_gamma 90.00
loop_
_atom_site_label
_atom_site_type_symbol
_atom_site_fract_x
_atom_site_fract_y
_atom_site_fract_z
Ba1 Ba 0.000 0.000 0.000
P1 P 0.500 0.500 0.000
Rh1 Rh 0.500 0.500 0.500
Cl1 Cl 0.000 0.500 0.500
```

***

Entry 11:
# B5C7

B5C7 after structural relaxation (PBE, Alexandria via LeMat-Bulk).

Computed properties:
The mass density comes out at 2.9 g cm⁻³. The offset from the most stable computed form comes out at 0.145 eV per atom. The calculation puts the formation energy at 0.403 eV/atom. As for the total energy: -7.760 eV per atom. As for the density of states at the Fermi level: 0.22 states/eV per atom.

CIF file:
```
data_B5C7
_chemical_formula_sum 'B10 C14'
_symmetry_space_group_name_H-M 'C 1 m 1'
_symmetry_Int_Tables_number 8
_cell_length_a 8.857
_cell_length_b 2.575
_cell_length_c 7.803
_cell_angle_alpha 90.00
_cell_angle_beta 115.29
_cell_angle_gamma 90.00
loop_
_symmetry_equiv_pos_as_xyz
'x,y,z'
'x,-y,z'
'x+1/2,y+1/2,z'
'x+1/2,-y+1/2,z'
loop_
_atom_site_label
_atom_site_type_symbol
_atom_site_fract_x
_atom_site_fract_y
_atom_site_fract_z
B1 B 0.000 0.000 0.000
B2 B 0.003 0.500 0.344
B3 B 0.010 0.500 0.842
B4 B 0.141 0.000 0.711
B5 B 0.357 0.000 0.619
C1 C 0.171 0.500 0.303
C2 C 0.175 0.000 0.195
C3 C 0.188 0.500 0.829
C4 C 0.329 0.500 0.495
C5 C 0.330 0.000 0.144
C6 C 0.331 0.500 0.033
C7 C 0.498 0.500 0.490
```

***

Entry 12:
# LaScTa2

LaScTa2 after structural relaxation (PBE, Alexandria via LeMat-Bulk).

Computed properties:
The mass density comes out at 10.2 g cm⁻³. The offset from the most stable computed form comes out at 0.216 eV per atom. The calculation puts the formation energy at 0.423 eV/atom. As for the total energy: -8.318 eV per atom. As for the density of states at the Fermi level: 1.50 states/eV per atom.

CIF file:
```
data_LaScTa2
_chemical_formula_sum 'La1 Sc1 Ta2'
_symmetry_space_group_name_H-M 'P 4/m m m'
_symmetry_Int_Tables_number 123
_symmetry_space_group_name_Hall '-P 4 2'
_cell_length_a 2.972
_cell_length_b 2.972
_cell_length_c 10.085
_cell_angle_alpha 90.00
_cell_angle_beta 90.00
_cell_angle_gamma 90.00
loop_
_atom_site_label
_atom_site_type_symbol
_atom_site_fract_x
_atom_site_fract_y
_atom_site_fract_z
La1 La 0.000 0.000 0.000
Sc1 Sc 0.000 0.000 0.500
Ta1 Ta 0.500 0.500 0.271
```

***

Entry 13:
# AcAg4Bi

AcAg4Bi after structural relaxation (PBE, Alexandria via LeMat-Bulk).

Computed properties:
The mass density comes out at 10.1 g cm⁻³. The calculation puts the formation energy at -0.224 eV/atom. As for the total energy: -3.457 eV per atom. As for the density of states at the Fermi level: 0.52 states/eV per atom.

CIF file:
```
data_AcAg4Bi
_chemical_formula_sum 'Ac4 Ag16 Bi4'
_symmetry_space_group_name_H-M 'F -4 3 m'
_symmetry_Int_Tables_number 216
_symmetry_space_group_name_Hall 'F -4 2 3'
_cell_length_a 8.292
_cell_length_b 8.292
_cell_length_c 8.292
_cell_angle_alpha 90.00
_cell_angle_beta 90.00
_cell_angle_gamma 90.00
loop_
_atom_site_label
_atom_site_type_symbol
_atom_site_fract_x
_atom_site_fract_y
_atom_site_fract_z
Ac1 Ac 0.000 0.000 0.000
Ag1 Ag 0.125 0.125 0.375
Bi1 Bi 0.250 0.250 0.750
```